Computed, not measured: Cs2TeIrBr6 after structural relaxation at the GGA-PBE level of DFT.

Properties
- density (g cm⁻³) = 5.11
- formation energy (no corrections) (eV/atom) = -0.7433

Lattice parameters (Å, degrees): 7.956 7.956 10.943 90.00 90.00 90.00
Space group I4/mmm (No. 139)
Symmetry-distinct sites (fractional):
1 Cs 0.000 0.500 0.250 (multiplicity 4)
2 Te 0.000 0.000 0.000 (multiplicity 2)
3 Ir 0.000 0.000 0.500 (multiplicity 2)
4 Br 0.000 0.000 0.266 (multiplicity 4)
5 Br 0.227 0.227 0.500 (multiplicity 8)